[1]
A plane-wave DFT calculation with SCAN was carried out for a PBEsol-optimized structure of HfCuSiAu2.

Uncorrected formation energy   0.24 eV/atom
N(E_F)   2.7 states/eV per cell
Space group   P4/mmm

a = 4.662 Å, b = 4.662 Å, c = 4.234 Å
α = 90.00°, β = 90.00°, γ = 90.00°
Fractional coordinates of all 5 atoms:
Hf (0.000, 0.000, 0.000)
Cu (0.500, 0.500, 0.000)
Si (0.500, 0.500, 0.500)
Au (0.000, 0.500, 0.500)
Au (0.500, 0.000, 0.500)


[2]
A plane-wave DFT calculation with SCAN was carried out for a PBEsol-optimized structure of La3ZnIn.

ΔE_f   -0.074 eV per atom
N(E_F)   10.6 states/eV per cell
Space group   Pm-3m

a = 5.560 Å, b = 5.560 Å, c = 5.560 Å
α = 90.00°, β = 90.00°, γ = 90.00°
Fractional coordinates of all 5 atoms:
La (0.000, 0.000, 0.500)
La (0.000, 0.500, 0.000)
La (0.500, 0.000, 0.000)
Zn (0.000, 0.000, 0.000)
In (0.500, 0.500, 0.500)


| no. | total moment (μB/cell) |
| --- | --- |
| 1 | 0.000 |
| 2 | 0.002 |